No. 1
An optimized crystal structure of CaIrRh2. Source: the Alexandria database, functional GGA-PBE.

Cell: 2.823 4.477 5.421 Å, 90.00 104.86 90.00°
Element x y z (fractional)
Ca 0.000 0.000 0.000
Ir 0.683 0.500 0.359
Rh 0.256 0.000 0.506
Rh 0.398 0.500 0.793

Results
- energy of formation from the pure elements (meV/atom) = -42
- space-group type = Pm, No. 6



No. 2
An optimized crystal structure of PdRu2Pt2. Source: the Alexandria database, functional GGA-PBE.

Cell: 7.596 7.596 2.751 Å, 90.00 90.00 90.00°
Element x y z (fractional)
Pd 0.000 0.000 0.000
Pd 0.500 0.500 0.000
Ru 0.118 0.382 0.000
Ru 0.382 0.882 0.000
Ru 0.618 0.118 0.000
Ru 0.882 0.618 0.000
Pt 0.178 0.678 0.500
Pt 0.322 0.178 0.500
Pt 0.678 0.822 0.500
Pt 0.822 0.322 0.500

Results
- energy of formation from the pure elements (meV/atom) = 293
- space-group type = P4/mbm, No. 127



No. 3
An optimized crystal structure of Ti3Co2Rh. Source: the Alexandria database, functional GGA-PBE.

Cell: 2.963 2.963 9.372 Å, 90.00 90.00 90.00°
Element x y z (fractional)
Ti 0.000 0.000 0.000
Ti 0.000 0.000 0.319
Ti 0.000 0.000 0.681
Co 0.500 0.500 0.160
Co 0.500 0.500 0.840
Rh 0.500 0.500 0.500

Results
- energy of formation from the pure elements (meV/atom) = -505
- space-group type = P4/mmm, No. 123



No. 4
An optimized crystal structure of ScHgIr2Br. Source: the Alexandria database, functional GGA-PBE.

Cell: 4.706 4.706 4.798 Å, 90.00 90.00 90.00°
Element x y z (fractional)
Sc 0.000 0.000 0.000
Hg 0.500 0.500 0.000
Ir 0.000 0.500 0.500
Ir 0.500 0.000 0.500
Br 0.000 0.000 0.500

Results
- space-group type = P4/mmm, No. 123
- formation energy from raw total energies (meV/atom) = 891



| no. | total magnetic moment (Bohr magnetons per cell) | uncorrected energy (eV per atom) |
| --- | --- | --- |
| 1 | 0.0 | -6.43 |
| 2 | 0.0 | -6.87 |
| 3 | 0.0 | -8.05 |
| 4 | 0.0 | -4.31 |